Entry 1:
MgPb2Cl, relaxed, DFT GGA-PBE; energy above the lowest structure with this stoichiometry = 7.13 kcal/mol of atoms
1.0
-2.582 3.590 0.344
-3.065 -2.407 2.117
2.314 3.281 11.729
Pb Mg Cl
4 2 2
direct
0.618 0.125 0.250
0.132 0.625 0.250
0.375 0.382 0.750
0.875 0.868 0.750
0.500 0.500 0.000
0.250 0.750 0.500
0.000 0.000 0.000
0.750 0.250 0.500

=====

Entry 2:
A relaxed structure of MgPb5Cl12, computed with GGA-PBE.

Structure (POSCAR):
```
MgPb5Cl12
1.0
-2.207 6.893 1.266
-6.786 2.108 -1.984
-4.503 -3.556 11.598
Mg Pb Cl
1 5 12
direct
0.000 0.000 0.000
0.500 0.000 0.500
0.167 0.667 0.500
0.833 0.333 0.500
0.667 0.666 0.000
0.333 0.334 0.000
0.834 0.000 0.379
0.166 0.000 0.621
0.705 0.000 0.893
0.295 0.000 0.107
0.295 0.705 0.893
0.000 0.705 0.107
0.000 0.295 0.893
0.705 0.295 0.107
0.499 0.334 0.622
0.832 0.666 0.622
0.168 0.334 0.378
0.501 0.666 0.378
```

=====

Entry 3:
MgPbCl3, relaxed, DFT GGA-PBE; energy above the lowest structure with this stoichiometry = 0.00 kcal/mol of atoms
1.0
4.983 0.000 0.000
0.000 4.983 0.000
0.000 0.000 4.983
Pb Mg Cl
1 1 3
direct
0.500 0.500 0.500
0.000 0.000 0.000
0.000 0.500 0.000
0.000 0.000 0.500
0.500 0.000 0.000

=====

Entry 4:
MgPbCl2, relaxed, DFT GGA-PBE; energy above the lowest structure with this stoichiometry = 16.33 kcal/mol of atoms
1.0
3.411 0.000 0.000
0.000 4.268 0.000
0.000 0.000 6.846
Cl Mg Pb
2 1 1
direct
0.000 0.000 0.017
0.000 0.000 0.483
0.500 0.500 0.250
0.500 0.500 0.750

=====

Entry 5:
MgPbCl2, relaxed, DFT GGA-PBE; energy above the lowest structure with this stoichiometry = 15.58 kcal/mol of atoms
1.0
-4.282 5.307 1.389
-5.388 0.389 4.387
6.637 -1.952 -0.754
Cl Mg Pb
2 1 1
direct
0.000 0.000 0.000
0.250 0.750 0.500
0.500 0.500 0.000
0.750 0.250 0.500

=====

Entry 6:
MgPbCl3, relaxed, DFT GGA-PBE; energy above the lowest structure with this stoichiometry = 9.61 kcal/mol of atoms
1.0
5.646 0.000 0.000
0.000 5.646 0.000
0.000 0.000 5.646
Pb Mg Cl
1 1 3
direct
0.000 0.000 0.000
0.500 0.500 0.500
0.000 0.500 0.000
0.000 0.000 0.500
0.500 0.000 0.000

=====

Entry 7:
A relaxed structure of MgPb3Cl8, computed with GGA-PBE.

Structure (POSCAR):
```
MgPb3Cl8
1.0
-0.928 6.209 -5.607
6.174 -5.643 -0.952
-7.767 -1.988 -0.916
Mg Pb Cl
1 3 8
direct
0.000 0.000 0.000
0.500 0.000 0.000
0.500 0.500 0.000
0.000 0.500 0.000
0.250 0.501 0.754
0.750 0.499 0.246
0.220 0.998 0.778
0.778 0.998 0.778
0.778 0.555 0.778
0.222 0.445 0.222
0.222 0.002 0.222
0.780 0.002 0.222
```

=====

Entry 8:
MgPb2Cl, relaxed, DFT GGA-PBE; energy above the lowest structure with this stoichiometry = 0.00 kcal/mol of atoms
1.0
-1.424 -2.685 1.868
3.330 -0.308 -1.243
3.724 4.231 8.923
Cl Mg Pb
1 1 2
direct
0.000 0.000 0.575
0.500 0.500 0.727
0.000 0.000 0.966
0.500 0.500 0.232

=====

Energy relative to the elements, uncorrected / meV/atom: -187; -1242; -1129; -538; -570; -712; -1296; -496